Ca3DyZr2N6: relaxed, PBE.

As for the uncorrected formation energy: -1.35 eV/atom. Its space group is C2/m, No. 12. Its size of the total moment is 0.0 μB/cell.

Lattice parameters (Å, degrees): 5.869 5.869 5.987 99.41 99.41 120.03
Sites, in units of the cell vectors:
Zr  0.333  0.667  0.000
Zr  0.667  0.333  0.000
Ca  0.833  0.167  0.500
Ca  0.500  0.500  0.500
Ca  0.167  0.833  0.500
N  0.073  0.421  0.220
N  0.579  0.927  0.780
N  0.421  0.073  0.220
N  0.927  0.579  0.780
N  0.726  0.726  0.221
N  0.274  0.274  0.779
Dy  0.000  0.000  0.000

***

CaDy2Zr3N6: relaxed, PBE.

As for the uncorrected formation energy: -1.66 eV/atom. Its space group is C2/m, No. 12. Its size of the total moment is 0.0 μB/cell.

Lattice parameters (Å, degrees): 3.337 6.753 7.525 103.92 102.81 90.00
Sites, in units of the cell vectors:
Ca  0.500  0.000  0.000
N  0.005  0.733  0.009
N  0.337  0.408  0.674
N  0.327  0.926  0.655
N  0.673  0.074  0.345
N  0.663  0.592  0.326
N  0.995  0.267  0.991
Zr  0.835  0.167  0.669
Zr  0.500  0.500  0.000
Zr  0.165  0.833  0.331
Dy  0.166  0.331  0.331
Dy  0.834  0.669  0.669

***

Na2CaDy: relaxed, PBE.

Its space group is R-3m, No. 166. Its size of the total moment is 0.0 μB/cell. The formation energy from the elements comes out at 0.28 eV/atom.

Lattice parameters (Å, degrees): 3.548 3.548 13.680 82.55 82.55 60.00
Sites, in units of the cell vectors:
Dy  0.000  0.000  0.000
Ca  0.500  0.500  0.500
Na  0.915  0.915  0.255
Na  0.085  0.085  0.745

***

NaCaDy: relaxed, PBE.

The energy above the most stable polymorph in this dataset comes out at 0.36 eV per formula unit. Its space group is P3m1, No. 156. Its size of the total moment is 0.0 μB/cell. The formation energy from the elements comes out at 0.17 eV/atom.

Lattice parameters (Å, degrees): 3.654 3.654 9.306 90.00 90.00 120.00
Sites, in units of the cell vectors:
Na  0.667  0.333  0.327
Ca  0.333  0.667  0.677
Dy  0.000  0.000  0.997

***

NaCaDy: relaxed, PBE.

The energy above the most stable polymorph in this dataset comes out at 0.00 eV per formula unit. Its space group is R-3m, No. 166. Its size of the total moment is 0.0 μB/cell. The formation energy from the elements comes out at 0.05 eV/atom.

Lattice parameters (Å, degrees): 3.728 3.728 18.215 84.13 84.13 60.00
Sites, in units of the cell vectors:
Dy  0.692  0.692  0.925
Dy  0.308  0.308  0.075
Na  0.138  0.138  0.586
Na  0.862  0.862  0.414
Ca  0.413  0.413  0.760
Ca  0.587  0.587  0.240

***

NaCa2DyO4: relaxed, PBE.

As for the uncorrected formation energy: -2.84 eV/atom. Its space group is P2/m, No. 10. Its size of the total moment is 0.0 μB/cell.

Lattice parameters (Å, degrees): 3.426 5.840 5.853 108.24 90.00 90.00
Sites, in units of the cell vectors:
Dy  0.500  0.500  0.000
Ca  0.500  0.000  0.500
Ca  0.000  0.500  0.500
Na  0.000  0.000  0.000
O  0.500  0.728  0.743
O  0.000  0.734  0.239
O  0.500  0.272  0.257
O  0.000  0.266  0.761